1.
This record from the Alexandria database describes a relaxed RbLa2H crystal. The functional is PBE-GGA.

Crystal system   cubic

a = 8.0116 Å, b = 8.0116 Å, c = 8.0116 Å
α = 90.00°, β = 90.00°, γ = 90.00°
With the nearest neighbours (Å) after each atom.
Space group Fm-3m (No. 225)
Asymmetric unit:
Rb: 0.0000 0.0000 0.0000 x4  8 La 3.47
La: 0.2500 0.2500 0.2500 x8  4 H 3.47, 4 Rb 3.47
H: 0.0000 0.0000 0.5000 x4  8 La 3.47


2.
This record from the Alexandria database describes a relaxed Cs2SiHgO4 crystal. The functional is PBE-GGA.

Crystal system   orthorhombic

a = 5.6416 Å, b = 12.3489 Å, c = 22.3485 Å
α = 90.00°, β = 90.00°, γ = 90.00°
With the nearest neighbours (Å) after each atom.
Space group Fddd (No. 70, origin choice 2)
Asymmetric unit:
Cs: 0.1250 0.1250 0.3020 x16  4 O 3.28-3.33
Si: 0.1250 0.1250 0.6250 x8  4 O 1.67
Hg: 0.1250 0.1250 0.1250 x8  4 O 2.26
O: 0.0517 0.2954 0.8341 x32  1 Si 1.67


no.,total energy (eV/cell),mass density (g cm⁻³)
1,-40.9,4.71
2,-324.9,4.77